# 1
# Y3Tm3Sc (GGA-PBE, optimized geometry)
# calculated volume: 221.90 Å³/f.u.
# energy of formation: 0.167 eV/atom
# distance to the lowest polymorph of the same formula: 150 meV per atom
data_Y3Tm3Sc
_chemical_formula_sum 'Y18 Tm18 Sc6'
_space_group_name_H-M_alt 'R -3'
_space_group_IT_number 148
_space_group_name_Hall '-R 3'
_cell_length_a 6.1139
_cell_length_b 6.1139
_cell_length_c 41.1279
_cell_angle_alpha 90.00
_cell_angle_beta 90.00
_cell_angle_gamma 120.00
loop_
_atom_site_label
_atom_site_fract_x
_atom_site_fract_y
_atom_site_fract_z
Y1 0.0003 0.3312 0.1314
Tm1 0.0001 0.3349 0.9372
Sc1 0.0000 0.0000 0.3333

=====

# 2
# Pm4Er5Sc (GGA-PBE, optimized geometry)
# calculated volume: 327.71 Å³/f.u.
# energy of formation: 0.221 eV/atom
# distance to the lowest polymorph of the same formula: 29 meV per atom
data_Pm4Er5Sc
_chemical_formula_sum 'Pm8 Er10 Sc2'
_space_group_name_H-M_alt 'I 4 m m'
_space_group_IT_number 107
_space_group_name_Hall 'I 4 -2'
_cell_length_a 10.653
_cell_length_b 10.653
_cell_length_c 5.776
_cell_angle_alpha 90.00
_cell_angle_beta 90.00
_cell_angle_gamma 90.00
loop_
_atom_site_label
_atom_site_fract_x
_atom_site_fract_y
_atom_site_fract_z
Pm1 0.000 0.322 0.000
Er1 0.000 0.000 0.230
Er2 0.186 0.186 0.512
Sc1 0.000 0.000 0.755

=====

# 3
# Sr2AuN (GGA-PBE, optimized geometry)
# calculated volume: 99.38 Å³/f.u.
# energy relative to the elements, uncorrected: -0.6274 eV per atom
data_Sr2AuN
_chemical_formula_sum 'Sr6 Au3 N3'
_space_group_name_H-M_alt 'R 3 m'
_space_group_IT_number 160
_space_group_name_Hall 'R 3 -2"'
_cell_length_a 3.8952
_cell_length_b 3.8952
_cell_length_c 22.6891
_cell_angle_alpha 90.00
_cell_angle_beta 90.00
_cell_angle_gamma 120.00
loop_
_atom_site_label
_atom_site_fract_x
_atom_site_fract_y
_atom_site_fract_z
Sr1 0.0000 0.0000 0.0000
Sr2 0.0000 0.0000 0.2128
Au1 0.0000 0.0000 0.4393
N1 0.0000 0.0000 0.6058

=====

# 4
# SrHg2Cl (GGA-PBE, optimized geometry)
# calculated volume: 113.58 Å³/f.u.
# energy relative to the elements, uncorrected: -0.9280 eV per atom
# distance to the lowest polymorph of the same formula: 6 meV per atom
data_SrHg2Cl
_chemical_formula_sum 'Sr2 Hg4 Cl2'
_space_group_name_H-M_alt 'C m m m'
_space_group_IT_number 65
_space_group_name_Hall '-C 2 2'
_cell_length_a 6.187
_cell_length_b 6.255
_cell_length_c 5.870
_cell_angle_alpha 90.00
_cell_angle_beta 90.00
_cell_angle_gamma 90.00
loop_
_atom_site_label
_atom_site_fract_x
_atom_site_fract_y
_atom_site_fract_z
Sr1 0.000 0.000 0.000
Hg1 0.250 0.250 0.500
Cl1 0.000 0.500 0.000